Dy3Tm12Cd | GGA-PBE | optimized geometry

Cell and atoms, written as POSCAR:
```
Dy3Tm12Cd
1.0
4.899 0.000 0.000
0.000 4.899 0.000
0.000 0.000 19.769
Dy Tm Cd
3 12 1
direct
0.000 0.000 0.000
0.000 0.000 0.252
0.000 0.000 0.748
0.000 0.500 0.127
0.000 0.500 0.379
0.000 0.500 0.621
0.000 0.500 0.873
0.500 0.000 0.127
0.500 0.000 0.379
0.500 0.000 0.621
0.500 0.000 0.873
0.500 0.500 0.000
0.500 0.500 0.256
0.500 0.500 0.500
0.500 0.500 0.744
0.000 0.000 0.500
```

- raw total energy (eV per cell) = -68.40
- spin magnetization (μB/f.u.) = 0.0
- N(E_F) (states/eV/atom) = 1.186
- energy relative to the elements (eV per atom) = -0.001
- V (Å³/atom) = 29.66